Below is Rb3TbNp2S6 after structural relaxation, with properties calculated at the PBE-GGA level.

abc: 7.1305 12.3506 8.0449
angles: 90.00 107.18 90.00
Last column: nearest neighbours and their distance in Å.
Space group C2/m (No. 12)
Unique sites:
Rb (0.0000, 0.0000, 0.0000)  6 S 3.35-3.36
Rb (0.0000, 0.3340, 0.0000)  6 S 3.35-3.36
Tb (0.0000, 0.5000, 0.5000)  6 S 2.80
Np (0.0000, 0.1667, 0.5000)  6 S 2.80
S (0.2301, 0.0000, 0.6916)  2 Np 2.80, 1 Tb 2.80
S (0.2308, 0.3331, 0.6918)  2 Np 2.80, 1 Tb 2.80

Results
- M_tot (μB per formula unit) = 8.0
- DFT total energy (eV/atom) = -6.364
- uncorrected formation energy (eV per atom) = -1.516